TiPdOF2 meta-GGA SCAN single point on PBEsol structure; Fermi-level density of states = 2.05 states/eV/f.u.; formation energy (no corrections) = -2.158 eV per atom; V = 59.31 Å³ per cell; space group = P4/mmm; total magnetic moment = 0.0 μB per formula unit
1.0
3.785 0.000 0.000
0.000 3.958 0.000
0.000 0.000 3.958
Ti Pd O F
1 1 1 2
Direct
0.000 0.000 0.000
0.500 0.500 0.500
0.500 0.000 0.000
0.000 0.500 0.000
0.000 0.000 0.500